Arrangement w

! PBE-GGA LiFe2WC, optimized geometry; values from VASP
! * space-group type: P4/mmm
&SYSTEM
  ibrav = 0, nat = 5, ntyp = 4
/
ATOMIC_SPECIES
C 12.01 C.upf
Fe 55.84 Fe.upf
W 183.84 W.upf
Li 6.94 Li.upf
ATOMIC_POSITIONS crystal
C 0.000 0.500 0.000
Fe 0.000 0.000 0.500
Fe 0.500 0.000 0.000
W 0.000 0.000 0.000
Li 0.500 0.500 0.500
CELL_PARAMETERS angstrom
4.710 0.000 0.000
0.000 4.064 0.000
0.000 0.000 4.710

=====

Arrangement x

! PBE-GGA LiFe2WC, optimized geometry; values from VASP
! * space-group type: P4/mmm
&SYSTEM
  ibrav = 0, nat = 5, ntyp = 4
/
ATOMIC_SPECIES
C 12.01 C.upf
Fe 55.84 Fe.upf
W 183.84 W.upf
Li 6.94 Li.upf
ATOMIC_POSITIONS crystal
C 0.000 0.500 0.000
Fe 0.000 0.000 0.500
Fe 0.500 0.000 0.000
W 0.500 0.500 0.500
Li 0.000 0.000 0.000
CELL_PARAMETERS angstrom
-2.725 1.191 -2.484
-0.862 -3.339 -0.655
-2.585 0.102 2.884

=====

arrangement w is the most stable structure; the next one sits 0.141 eV/atom above it.

=====

Arrangement w

! PBE-GGA Mg14FeC, optimized geometry; values from VASP
! * space-group type: Amm2
&SYSTEM
  ibrav = 0, nat = 16, ntyp = 3
/
ATOMIC_SPECIES
Mg 24.30 Mg.upf
Fe 55.84 Fe.upf
C 12.01 C.upf
ATOMIC_POSITIONS crystal
Mg 0.156 0.844 0.000
Mg 0.689 0.311 0.000
Mg 0.026 0.336 0.500
Mg 0.226 0.391 0.000
Mg 0.664 0.974 0.500
Mg 0.609 0.774 0.000
Mg 0.408 0.211 0.678
Mg 0.408 0.211 0.322
Mg 0.789 0.592 0.678
Mg 0.789 0.592 0.322
Mg 0.302 0.698 0.694
Mg 0.302 0.698 0.306
Mg 0.936 0.064 0.785
Mg 0.936 0.064 0.215
Fe 0.085 0.915 0.500
C 0.675 0.325 0.500
CELL_PARAMETERS angstrom
-0.080 -1.220 6.360
-4.672 -3.772 -2.425
5.538 -6.147 -1.110

=====

Arrangement x

! PBE-GGA Mg14FeC, optimized geometry; values from VASP
! * space-group type: P-6m2
&SYSTEM
  ibrav = 0, nat = 16, ntyp = 3
/
ATOMIC_SPECIES
Mg 24.30 Mg.upf
Fe 55.84 Fe.upf
C 12.01 C.upf
ATOMIC_POSITIONS crystal
Mg 0.004 0.502 0.000
Mg 0.996 0.498 0.500
Mg 0.498 0.996 0.000
Mg 0.502 0.004 0.500
Mg 0.498 0.502 0.000
Mg 0.502 0.498 0.500
Mg 0.156 0.844 0.259
Mg 0.156 0.844 0.741
Mg 0.156 0.313 0.259
Mg 0.156 0.313 0.741
Mg 0.687 0.844 0.259
Mg 0.687 0.844 0.741
Mg 0.667 0.333 0.248
Mg 0.667 0.333 0.752
Fe 0.000 0.000 0.000
C 0.000 0.000 0.500
CELL_PARAMETERS angstrom
-4.833 3.715 1.185
1.112 -4.906 3.642
5.582 5.460 5.650

=====

arrangement w is the most stable structure; the next one sits 0.112 eV/atom above it.

=====

Arrangement w

! PBE-GGA MgFe2C, optimized geometry; values from VASP
! * space-group type: I-42d
&SYSTEM
  ibrav = 0, nat = 8, ntyp = 3
/
ATOMIC_SPECIES
C 12.01 C.upf
Mg 24.30 Mg.upf
Fe 55.84 Fe.upf
ATOMIC_POSITIONS crystal
C 0.500 0.500 0.000
C 0.250 0.750 0.500
Mg 0.000 0.000 0.000
Mg 0.750 0.250 0.500
Fe 0.512 0.125 0.250
Fe 0.238 0.625 0.250
Fe 0.375 0.488 0.750
Fe 0.875 0.762 0.750
CELL_PARAMETERS angstrom
-0.462 1.506 -6.104
-0.070 -6.121 -1.505
-2.579 -2.323 -3.633

=====

Arrangement x

! PBE-GGA MgFe2C, optimized geometry; values from VASP
! * space-group type: Fm-3m
&SYSTEM
  ibrav = 0, nat = 4, ntyp = 3
/
ATOMIC_SPECIES
C 12.01 C.upf
Mg 24.30 Mg.upf
Fe 55.84 Fe.upf
ATOMIC_POSITIONS crystal
C 0.000 0.000 0.000
Mg 0.500 0.500 0.500
Fe 0.250 0.250 0.250
Fe 0.750 0.750 0.750
CELL_PARAMETERS angstrom
-1.078 -3.611 0.747
-3.606 -0.739 1.100
-2.401 -1.820 -2.384

=====

arrangement w is the most stable structure; the next one sits 0.855 eV/atom above it.